No. 1
This record from Alexandria describes crystalline Ga2BPt at its relaxed geometry. The functional is PBE-GGA.

a = 5.3692 Å, b = 5.3692 Å, c = 5.3692 Å
α = 107.29°, β = 107.29°, γ = 113.92°
Last column: nearest neighbours and their distance in Å.
Fractional positions:
Ga 0.0671 0.6250 0.9421  2 B 2.14
Ga 0.3750 0.3171 0.4421  2 B 2.14
Ga 0.6829 0.1250 0.0579  2 B 2.14
Ga 0.8750 0.9329 0.5579  2 B 2.14
B 0.0000 0.0000 0.0000  4 Ga 2.14
B 0.7500 0.2500 0.5000  4 Ga 2.14
Pt 0.2500 0.7500 0.5000  4 Ga 2.63, 2 B 2.93
Pt 0.5000 0.5000 0.0000  4 Ga 2.63, 2 B 2.93

Results
* VASP energy: -4.37 eV per atom



No. 2
This record from Alexandria describes crystalline LiCd2Si at its relaxed geometry. The functional is PBE-GGA.

a = 5.1017 Å, b = 5.1017 Å, c = 5.1017 Å
α = 130.36°, β = 130.36°, γ = 72.83°
Last column: nearest neighbours and their distance in Å.
Fractional positions:
Li 0.0000 0.0000 0.0000  8 Cd 2.97, 4 Si 3.03
Cd 0.2500 0.7500 0.5000  4 Si 2.97, 4 Li 2.97, 4 Cd 3.03
Cd 0.7500 0.2500 0.5000  4 Si 2.97, 4 Li 2.97, 4 Cd 3.03
Si 0.5000 0.5000 0.0000  8 Cd 2.97, 4 Li 3.03

Results
* formation energy without anion corrections: 0.1 eV/f.u.
* VASP energy: -2.26 eV per atom



| no. | density (g cm⁻³) | spin magnetization (Bohr magnetons per cell) |
| --- | --- | --- |
| 1 | 9.67 | 0.000 |
| 2 | 5.73 | 0.000 |